1.
First-principles (PBE) data for an optimized crystal structure of Li2GeAsSe4, as listed in Alexandria via LeMat-Bulk.

Its formation energy (no corrections) is -0.545 eV per atom. Its total energy is -0.288 Ry/atom. The value obtained for the spin magnetization is 0.00 μB per cell. The value obtained for the density of states at the Fermi level is 7.4 states/eV per cell.

It has space group Imma (No. 74), with a = 7.6794 Å, b = 7.7599 Å, c = 10.9781 Å, α = 90.00°, β = 90.00° and γ = 90.00°. The distinct sites, in fractional coordinates, are Li at (0.0000, 0.0000, 0.0000), Li at (0.2500, 0.2500, 0.2500), Ge at (0.2500, 0.2500, 0.7500), As at (0.0000, 0.0000, 0.5000), Se at (0.0000, 0.0015, 0.7477) and Se at (0.2473, 0.2500, 0.5011).

2.
First-principles (PBE) data for an optimized crystal structure of SrReN3, as listed in Alexandria via LeMat-Bulk.

Its formation energy (no corrections) is -0.238 eV per atom. Its total energy is -0.592 Ry/atom. The value obtained for the spin magnetization is 0.00 μB per cell. The value obtained for the density of states at the Fermi level is 0.2 states/eV per cell.

It has space group P1 (No. 1), with a = 3.7880 Å, b = 6.1179 Å, c = 7.0872 Å, α = 87.83°, β = 87.97° and γ = 81.99°. The distinct sites, in fractional coordinates, are Sr at (0.0000, 0.0000, 0.0000), Sr at (0.4729, 0.8475, 0.4885), Re at (0.3647, 0.4549, 0.1267), Re at (0.8736, 0.5064, 0.8510), N at (0.0484, 0.6928, 0.2736), N at (0.3499, 0.6184, 0.8500), N at (0.4395, 0.1769, 0.2036), N at (0.8325, 0.6118, 0.1445), N at (0.9020, 0.2784, 0.6926) and N at (0.9200, 0.0930, 0.6276).

3.
First-principles (PBE) data for an optimized crystal structure of SrTbZnPb, as listed in Alexandria via LeMat-Bulk.

Its total energy is -0.231 Ry/atom. The formation energy from the elements comes out at -1.25 eV per formula unit. The value obtained for the spin magnetization is 0.01 μB per cell. The value obtained for the density of states at the Fermi level is 15.2 states/eV per cell.

It has space group F-43m (No. 216), with a = 7.7359 Å, b = 7.7359 Å, c = 7.7359 Å, α = 90.00°, β = 90.00° and γ = 90.00°. The distinct sites, in fractional coordinates, are Sr at (0.0000, 0.0000, 0.0000), Tb at (0.0000, 0.0000, 0.5000), Zn at (0.2500, 0.2500, 0.7500) and Pb at (0.2500, 0.2500, 0.2500).

4.
First-principles (PBE) data for an optimized crystal structure of CaPmB12, as listed in Alexandria via LeMat-Bulk.

Its total energy is -0.489 Ry/atom. The formation energy from the elements comes out at -6.21 eV per formula unit. The value obtained for the spin magnetization is 0.00 μB per cell. The value obtained for the density of states at the Fermi level is 14.7 states/eV per cell.

It has space group Fm-3m (No. 225), with a = 8.2677 Å, b = 8.2677 Å, c = 8.2677 Å, α = 90.00°, β = 90.00° and γ = 90.00°. The distinct sites, in fractional coordinates, are Ca at (0.0000, 0.0000, 0.0000), Pm at (0.0000, 0.0000, 0.5000) and B at (0.1002, 0.2500, 0.2500).